# Li5Be3

An optimized crystal structure of Li5Be3 (PBE, the Alexandria database).

```
data_Li5Be3
_cell_length_a 4.2984
_cell_length_b 7.0365
_cell_length_c 7.7943
_cell_angle_alpha 89.93
_cell_angle_beta 74.43
_cell_angle_gamma 89.92
_symmetry_space_group_name_H-M 'P 1'
_symmetry_Int_Tables_number 1
loop_
_symmetry_equiv_pos_as_xyz
'x,y,z'
loop_
_atom_site_label
_atom_site_type_symbol
_atom_site_fract_x
_atom_site_fract_y
_atom_site_fract_z
Li1 Li 0.0000 0.0000 0.0000
Li2 Li 0.0689 0.5382 0.8641
Li3 Li 0.1843 0.1924 0.6331
Li4 Li 0.2750 0.7025 0.4505
Li5 Li 0.3836 0.0730 0.2322
Li6 Li 0.4992 0.7337 0.9999
Li7 Li 0.5691 0.1945 0.8641
Li8 Li 0.6834 0.5413 0.6332
Li9 Li 0.7765 0.0324 0.4507
Li10 Li 0.8834 0.6610 0.2318
Be1 Be 0.0685 0.3680 0.3709
Be2 Be 0.3892 0.8670 0.7225
Be3 Be 0.4362 0.4047 0.1295
Be4 Be 0.5684 0.3666 0.3709
Be5 Be 0.8889 0.8663 0.7229
Be6 Be 0.9362 0.3286 0.1299
```

# Pm8Pr2Sm

An optimized crystal structure of Pm8Pr2Sm (PBE, the Alexandria database).

```
data_Pm8Pr2Sm
_cell_length_a 19.3539
_cell_length_b 7.1431
_cell_length_c 5.7474
_cell_angle_alpha 90.00
_cell_angle_beta 93.67
_cell_angle_gamma 90.00
_symmetry_space_group_name_H-M 'C 1 2/m 1'
_symmetry_Int_Tables_number 12
loop_
_symmetry_equiv_pos_as_xyz
'x,y,z'
'-x,-y,-z'
'-x,y,-z'
'x,-y,z'
'x+1/2,y+1/2,z'
'-x+1/2,-y+1/2,-z'
'-x+1/2,y+1/2,-z'
'x+1/2,-y+1/2,z'
loop_
_atom_site_label
_atom_site_type_symbol
_atom_site_fract_x
_atom_site_fract_y
_atom_site_fract_z
Pm1 Pm 0.0447 0.0000 0.2358
Pm2 Pm 0.1283 0.2353 0.7308
Pm3 Pm 0.1858 0.5000 0.2296
Pr1 Pr 0.2161 0.0000 0.2571
Sm1 Sm 0.0000 0.5000 0.0000
```

The evaluated energy for the records listed, in turn: -2.426, -4.595 eV per atom.
The evaluated energy relative to the elements for the records listed, in turn: 167, 158 meV per atom.
The evaluated energy relative to the lowest polymorph listed for this composition for the records listed, in turn: 0.000, 1.591 eV per formula unit.